Record 1
Density functional theory data (PBE-GGA) for a relaxed structure of Tb2MgTe.

Results
Density (g/cm3): 5.58
Offset from the most stable computed form (meV per atom): 403
Formation energy without anion corrections (eV/atom): -0.206
Space-group type: R-3m, No. 166

```
Tb2MgTe
1.0
1.953 1.127 10.589
-1.953 1.127 10.589
0.000 -2.255 10.589
Tb Mg Te
2 1 1
Direct
0.104 0.104 0.104
0.896 0.896 0.896
0.000 0.000 0.000
0.500 0.500 0.500
```



Record 2
Density functional theory data (PBE-GGA) for a relaxed structure of Tb2MgTe3.

Results
Density (g/cm3): 6.65
Formation energy without anion corrections (eV/atom): -1.110
Space-group type: R-3c, No. 167

```
Tb2MgTe3
1.0
3.893 2.247 6.900
-3.893 2.247 6.900
0.000 -4.495 6.900
Tb Mg Te
4 2 6
Direct
0.165 0.165 0.165
0.335 0.335 0.335
0.665 0.665 0.665
0.835 0.835 0.835
0.000 0.000 0.000
0.500 0.500 0.500
0.083 0.750 0.417
0.250 0.583 0.917
0.417 0.083 0.750
0.583 0.917 0.250
0.750 0.417 0.083
0.917 0.250 0.583
```



Record 3
Density functional theory data (PBE-GGA) for a relaxed structure of Tb3MgTe6.

Results
Density (g/cm3): 6.37
Formation energy without anion corrections (eV/atom): -1.148
Space-group type: Cmc2_1, No. 36

```
Tb3MgTe6
1.0
6.081 -7.188 0.000
6.081 7.188 0.000
0.000 0.000 7.554
Tb Mg Te
6 2 12
Direct
0.097 0.903 0.500
0.227 0.421 0.601
0.421 0.227 0.101
0.579 0.773 0.601
0.773 0.579 0.101
0.903 0.097 0.000
0.288 0.712 0.128
0.712 0.288 0.628
0.047 0.596 0.331
0.125 0.205 0.298
0.205 0.125 0.798
0.271 0.729 0.760
0.404 0.953 0.331
0.463 0.537 0.299
0.537 0.463 0.799
0.596 0.047 0.831
0.729 0.271 0.260
0.795 0.875 0.298
0.875 0.795 0.798
0.953 0.404 0.831
```



Record 4
Density functional theory data (PBE-GGA) for a relaxed structure of TbMg2Te4.

Results
Density (g/cm3): 5.79
Formation energy without anion corrections (eV/atom): -0.906
Space-group type: Cmcm, No. 63

```
TbMg2Te4
1.0
2.065 -6.950 0.000
2.065 6.950 0.000
0.000 0.000 14.346
Tb Mg Te
2 4 8
Direct
0.116 0.884 0.750
0.884 0.116 0.250
0.366 0.634 0.570
0.366 0.634 0.930
0.634 0.366 0.070
0.634 0.366 0.430
0.000 0.000 0.000
0.000 0.000 0.500
0.284 0.716 0.117
0.284 0.716 0.383
0.452 0.548 0.750
0.548 0.452 0.250
0.716 0.284 0.617
0.716 0.284 0.883
```



Record 5
Density functional theory data (PBE-GGA) for a relaxed structure of TbMgTe.

Results
Density (g/cm3): 5.58
Formation energy without anion corrections (eV/atom): -0.697
Space-group type: R-3m, No. 166

```
TbMgTe
1.0
2.548 1.471 8.228
-2.548 1.471 8.228
0.000 -2.942 8.228
Tb Mg Te
2 2 2
Direct
0.078 0.078 0.078
0.922 0.922 0.922
0.332 0.332 0.332
0.668 0.668 0.668
0.214 0.214 0.214
0.786 0.786 0.786
```



Record 6
Density functional theory data (PBE-GGA) for a relaxed structure of Tb12Mg3Te5.

Results
Density (g/cm3): 5.89
Formation energy without anion corrections (eV/atom): -0.227
Space-group type: Ia-3d, No. 230

```
Tb12Mg3Te5
1.0
-9.036 9.036 9.036
9.036 -9.036 9.036
9.036 9.036 -9.036
Tb Mg Te
48 12 20
Direct
0.058 0.224 0.135
0.058 0.334 0.923
0.077 0.635 0.411
0.077 0.942 0.666
0.089 0.724 0.666
0.089 0.865 0.423
0.135 0.058 0.224
0.135 0.577 0.911
0.166 0.224 0.589
0.166 0.442 0.577
0.224 0.135 0.058
0.224 0.589 0.166
0.276 0.334 0.911
0.276 0.442 0.365
0.334 0.911 0.276
0.334 0.923 0.058
0.365 0.276 0.442
0.365 0.589 0.923
0.411 0.077 0.635
0.411 0.834 0.776
0.423 0.089 0.865
0.423 0.834 0.558
0.442 0.365 0.276
0.442 0.577 0.166
0.558 0.423 0.834
0.558 0.635 0.724
0.577 0.166 0.442
0.577 0.911 0.135
0.589 0.166 0.224
0.589 0.923 0.365
0.635 0.411 0.077
0.635 0.724 0.558
0.666 0.077 0.942
0.666 0.089 0.724
0.724 0.558 0.635
0.724 0.666 0.089
0.776 0.411 0.834
0.776 0.865 0.942
0.834 0.558 0.423
0.834 0.776 0.411
0.865 0.423 0.089
0.865 0.942 0.776
0.911 0.135 0.577
0.911 0.276 0.334
0.923 0.058 0.334
0.923 0.365 0.589
0.942 0.666 0.077
0.942 0.776 0.865
0.125 0.250 0.375
0.125 0.375 0.750
0.250 0.375 0.125
0.250 0.875 0.625
0.375 0.125 0.250
0.375 0.750 0.125
0.625 0.250 0.875
0.625 0.875 0.750
0.750 0.125 0.375
0.750 0.625 0.875
0.875 0.625 0.250
0.875 0.750 0.625
0.000 0.000 0.000
0.000 0.000 0.500
0.000 0.500 0.000
0.000 0.500 0.500
0.125 0.750 0.875
0.125 0.875 0.250
0.250 0.125 0.875
0.250 0.625 0.375
0.375 0.250 0.625
0.375 0.625 0.750
0.500 0.000 0.000
0.500 0.000 0.500
0.500 0.500 0.000
0.500 0.500 0.500
0.625 0.375 0.250
0.625 0.750 0.375
0.750 0.375 0.625
0.750 0.875 0.125
0.875 0.125 0.750
0.875 0.250 0.125
```



Record 7
Density functional theory data (PBE-GGA) for a relaxed structure of Tb2MgTl3Te6.

Results
Density (g/cm3): 7.02
Formation energy without anion corrections (eV/atom): -0.853
Space-group type: C2/m, No. 12

```
Tb2MgTl3Te6
1.0
3.834 -6.650 0.000
3.834 6.650 0.000
-2.563 0.000 7.979
Tb Mg Tl Te
2 1 3 6
Direct
0.165 0.835 0.000
0.835 0.165 0.000
0.500 0.500 0.000
0.000 0.000 0.500
0.329 0.671 0.500
0.671 0.329 0.500
0.104 0.430 0.788
0.246 0.246 0.215
0.430 0.104 0.788
0.570 0.896 0.212
0.754 0.754 0.785
0.896 0.570 0.212
```



Record 8
Density functional theory data (PBE-GGA) for a relaxed structure of TbMgTlTe3.

Results
Density (g/cm3): 5.90
Formation energy without anion corrections (eV/atom): -0.964
Space-group type: P2_1/m, No. 11

```
TbMgTlTe3
1.0
9.530 0.000 0.000
0.000 4.506 0.000
-2.936 0.000 10.091
Tb Mg Tl Te
2 2 2 6
Direct
0.170 0.250 0.137
0.830 0.750 0.863
0.418 0.750 0.391
0.582 0.250 0.609
0.295 0.750 0.783
0.705 0.250 0.217
0.044 0.250 0.835
0.279 0.250 0.462
0.393 0.750 0.122
0.607 0.250 0.878
0.721 0.750 0.538
0.956 0.750 0.165
```



Record 9
Density functional theory data (PBE-GGA) for a relaxed structure of Tb3MgTl4Te8.

Results
Density (g/cm3): 7.09
Formation energy without anion corrections (eV/atom): -0.905
Space-group type: R-3m, No. 166

```
Tb3MgTl4Te8
1.0
4.441 2.564 8.022
-4.441 2.564 8.022
0.000 -5.128 8.022
Tb Mg Tl Te
3 1 4 8
Direct
0.000 0.500 0.500
0.500 0.000 0.500
0.500 0.500 0.000
0.000 0.000 0.000
0.000 0.000 0.500
0.000 0.500 0.000
0.500 0.000 0.000
0.500 0.500 0.500
0.234 0.234 0.744
0.234 0.744 0.234
0.256 0.766 0.766
0.261 0.261 0.261
0.739 0.739 0.739
0.744 0.234 0.234
0.766 0.256 0.766
0.766 0.766 0.256
```



Record 10
Density functional theory data (PBE-GGA) for a relaxed structure of Tb3Y3MgTe8.

Results
Density (g/cm3): 6.35
Formation energy without anion corrections (eV/atom): -1.301
Space-group type: R-3m, No. 166

```
Tb3Y3MgTe8
1.0
4.357 2.515 7.115
-4.357 2.515 7.115
0.000 -5.031 7.115
Tb Y Mg Te
3 3 1 8
Direct
0.000 0.500 0.500
0.500 0.000 0.500
0.500 0.500 0.000
0.000 0.000 0.500
0.000 0.500 0.000
0.500 0.000 0.000
0.000 0.000 0.000
0.246 0.246 0.754
0.246 0.754 0.246
0.246 0.754 0.754
0.250 0.250 0.250
0.750 0.750 0.750
0.754 0.246 0.246
0.754 0.246 0.754
0.754 0.754 0.246
```



Record 11
Density functional theory data (PBE-GGA) for a relaxed structure of Tb2ThMg.

Results
Density (g/cm3): 7.93
Offset from the most stable computed form (meV per atom): 212
Formation enthalpy at 0 K (meV/atom): 165
Space-group type: Fm-3m, No. 225

```
Tb2ThMg
1.0
0.000 3.918 3.918
3.918 0.000 3.918
3.918 3.918 0.000
Tb Th Mg
2 1 1
Direct
0.250 0.250 0.250
0.750 0.750 0.750
0.000 0.000 0.000
0.500 0.500 0.500
```



Record 12
Density functional theory data (PBE-GGA) for a relaxed structure of TbThMg17.

Results
Density (g/cm3): 2.92
Formation enthalpy at 0 K (meV/atom): -3
Space-group type: R3m, No. 160

```
TbThMg17
1.0
5.107 2.949 5.060
-5.107 2.949 5.060
0.000 -5.898 5.060
Tb Th Mg
1 1 17
Direct
0.000 0.000 0.000
0.341 0.341 0.341
0.022 0.022 0.516
0.022 0.516 0.022
0.175 0.666 0.666
0.316 0.316 0.838
0.316 0.838 0.316
0.366 0.672 0.974
0.366 0.974 0.672
0.516 0.022 0.022
0.573 0.573 0.573
0.666 0.175 0.666
0.666 0.666 0.175
0.672 0.366 0.974
0.672 0.974 0.366
0.771 0.771 0.771
0.838 0.316 0.316
0.974 0.366 0.672
0.974 0.672 0.366
```



Record 13
Density functional theory data (PBE-GGA) for a relaxed structure of TbTh2Mg.

Results
Density (g/cm3): 8.91
Offset from the most stable computed form (meV per atom): 0
Formation enthalpy at 0 K (meV/atom): 61
Space-group type: P4/mmm, No. 123

```
TbTh2Mg
1.0
4.900 0.000 0.000
0.000 4.900 0.000
0.000 0.000 5.025
Tb Th Mg
1 2 1
Direct
0.000 0.000 0.000
0.000 0.500 0.500
0.500 0.000 0.500
0.500 0.500 0.000
```



Record 14
Density functional theory data (PBE-GGA) for a relaxed structure of Tb6ThMg.

Results
Density (g/cm3): 8.08
Formation enthalpy at 0 K (meV/atom): 35
Space-group type: P4/mmm, No. 123

```
Tb6ThMg
1.0
5.017 0.000 0.000
0.000 5.017 0.000
0.000 0.000 9.872
Tb Th Mg
6 1 1
Direct
0.000 0.000 0.000
0.000 0.000 0.500
0.000 0.500 0.250
0.000 0.500 0.750
0.500 0.000 0.250
0.500 0.000 0.750
0.500 0.500 0.000
0.500 0.500 0.500
```



Record 15
Density functional theory data (PBE-GGA) for a relaxed structure of TbThMg.

Results
Density (g/cm3): 7.76
Offset from the most stable computed form (meV per atom): 145
Formation enthalpy at 0 K (meV/atom): 120
Space-group type: P3m1, No. 156

```
TbThMg
1.0
5.446 0.000 0.000
-2.723 4.716 0.000
0.000 0.000 3.460
Tb Th Mg
1 1 1
Direct
0.000 0.000 0.000
0.333 0.667 0.448
0.667 0.333 0.825
```



Record 16
Density functional theory data (PBE-GGA) for a relaxed structure of TbTh2Mg.

Results
Density (g/cm3): 8.37
Offset from the most stable computed form (meV per atom): 215
Formation enthalpy at 0 K (meV/atom): 277
Space-group type: R-3m, No. 166

```
TbTh2Mg
1.0
1.714 0.990 12.622
-1.714 0.990 12.622
0.000 -1.979 12.622
Tb Th Mg
1 2 1
Direct
0.000 0.000 0.000
0.412 0.412 0.412
0.588 0.588 0.588
0.500 0.500 0.500
```



Record 17
Density functional theory data (PBE-GGA) for a relaxed structure of Tb2ThMg2.

Results
Density (g/cm3): 6.66
Formation enthalpy at 0 K (meV/atom): 41
Space-group type: Cmmm, No. 65

```
Tb2ThMg2
1.0
1.759 -12.202 0.000
1.759 12.202 0.000
0.000 0.000 3.475
Tb Th Mg
2 1 2
Direct
0.102 0.898 0.000
0.898 0.102 0.000
0.500 0.500 0.500
0.302 0.698 0.500
0.698 0.302 0.500
```



Record 18
Density functional theory data (PBE-GGA) for a relaxed structure of TbThMg2.

Results
Density (g/cm3): 6.56
Offset from the most stable computed form (meV per atom): 1
Formation enthalpy at 0 K (meV/atom): 4
Space-group type: Fm-3m, No. 225

```
TbThMg2
1.0
0.000 3.818 3.818
3.818 0.000 3.818
3.818 3.818 0.000
Tb Th Mg
1 1 2
Direct
0.000 0.000 0.000
0.500 0.500 0.500
0.250 0.250 0.250
0.750 0.750 0.750
```



Record 19
Density functional theory data (PBE-GGA) for a relaxed structure of Tb4ThMg3.

Results
Density (g/cm3): 6.81
Formation enthalpy at 0 K (meV/atom): -58
Space-group type: P4/mmm, No. 123

```
Tb4ThMg3
1.0
3.678 0.000 0.000
0.000 3.678 0.000
0.000 0.000 16.947
Tb Th Mg
4 1 3
Direct
0.000 0.000 0.114
0.000 0.000 0.361
0.000 0.000 0.639
0.000 0.000 0.886
0.500 0.500 0.500
0.500 0.500 0.000
0.500 0.500 0.236
0.500 0.500 0.764
```



Record 20
Density functional theory data (PBE-GGA) for a relaxed structure of TbTh2Mg.

Results
Density (g/cm3): 8.90
Offset from the most stable computed form (meV per atom): 88
Formation enthalpy at 0 K (meV/atom): 150
Space-group type: Fm-3m, No. 225

```
TbTh2Mg
1.0
0.000 3.923 3.923
3.923 0.000 3.923
3.923 3.923 0.000
Tb Th Mg
1 2 1
Direct
0.000 0.000 0.000
0.250 0.250 0.250
0.750 0.750 0.750
0.500 0.500 0.500
```